Record 1
# CsBi3Os

A PBEsol-optimized structure of CsBi3Os (SCAN, Alexandria).

abc: 6.0306 6.0306 6.0306
angles: 90.00 90.00 90.00
Last column: nearest neighbours and their distance in Å.
Positions (direct):
Cs  0.0000  0.0000  0.0000  6 Bi 3.02
Bi  0.0000  0.0000  0.5000  2 Cs 3.02
Bi  0.0000  0.5000  0.0000  2 Cs 3.02
Bi  0.5000  0.0000  0.0000  2 Cs 3.02
Os  0.5000  0.5000  0.5000  12 Bi 4.26

Results
The energy relative to the elements comes out at 274 kJ/mol of atoms. The volume is 43.86 Å³/atom.

Record 2
# CsBiP2S

A PBEsol-optimized structure of CsBiP2S (SCAN, Alexandria).

abc: 5.2958 5.2958 5.1802
angles: 90.00 90.00 90.00
Last column: nearest neighbours and their distance in Å.
Positions (direct):
Cs  0.0000  0.0000  0.0000  2 S 2.59, 4 P 2.65
Bi  0.5000  0.5000  0.5000  8 P 3.70, 4 S 3.74
P  0.0000  0.5000  0.0000  2 Cs 2.65
P  0.5000  0.0000  0.0000  2 Cs 2.65
S  0.0000  0.0000  0.5000  2 Cs 2.59

Results
For the raw formation energy, the calculation gives 1.816 eV/atom. The volume is 29.06 Å³/atom.

Record 3
# CsBi3Pb

A PBEsol-optimized structure of CsBi3Pb (SCAN, Alexandria).

abc: 5.9838 5.9838 5.9838
angles: 90.00 90.00 90.00
Last column: nearest neighbours and their distance in Å.
Positions (direct):
Cs  0.0000  0.0000  0.0000  12 Bi 4.23
Bi  0.0000  0.5000  0.5000  2 Pb 2.99
Bi  0.5000  0.0000  0.5000  2 Pb 2.99
Bi  0.5000  0.5000  0.0000  2 Pb 2.99
Pb  0.5000  0.5000  0.5000  6 Bi 2.99

Results
The calculation puts the energy above the most stable polymorph in this dataset at 0.0 meV per atom. The energy relative to the elements comes out at 31 kJ/mol of atoms. The volume is 42.85 Å³/atom.

Record 4
# CsBi3Pb

A PBEsol-optimized structure of CsBi3Pb (SCAN, Alexandria).

abc: 6.0919 6.0919 6.0919
angles: 90.00 90.00 90.00
Last column: nearest neighbours and their distance in Å.
Positions (direct):
Cs  0.0000  0.0000  0.0000  6 Bi 3.05
Bi  0.0000  0.0000  0.5000  2 Cs 3.05
Bi  0.0000  0.5000  0.0000  2 Cs 3.05
Bi  0.5000  0.0000  0.0000  2 Cs 3.05
Pb  0.5000  0.5000  0.5000  12 Bi 4.31

Results
The calculation puts the energy above the most stable polymorph in this dataset at 1044.6 meV per atom. The energy relative to the elements comes out at 132 kJ/mol of atoms. The volume is 45.22 Å³/atom.

Record 5
# CsBiPd2

A PBEsol-optimized structure of CsBiPd2 (SCAN, Alexandria).

abc: 7.8883 7.8883 7.7375
angles: 90.00 90.00 90.00
Last column: nearest neighbours and their distance in Å.
Positions (direct):
Cs  0.0000  0.0000  0.0000  4 Pd 3.34
Cs  0.0000  0.5000  0.2500  4 Pd 3.34
Cs  0.5000  0.0000  0.7500  4 Pd 3.34
Cs  0.5000  0.5000  0.5000  4 Pd 3.34
Bi  0.0000  0.0000  0.5000  4 Pd 2.62
Bi  0.0000  0.5000  0.7500  4 Pd 2.62
Bi  0.5000  0.0000  0.2500  4 Pd 2.62
Bi  0.5000  0.5000  0.0000  4 Pd 2.62
Pd  0.1810  0.7500  0.6250  2 Bi 2.62
Pd  0.2500  0.1810  0.3750  2 Bi 2.62
Pd  0.2500  0.3190  0.8750  2 Bi 2.62
Pd  0.3190  0.7500  0.1250  2 Bi 2.62
Pd  0.6810  0.2500  0.1250  2 Bi 2.62
Pd  0.7500  0.6810  0.8750  2 Bi 2.62
Pd  0.7500  0.8190  0.3750  2 Bi 2.62
Pd  0.8190  0.2500  0.6250  2 Bi 2.62

Results
The energy relative to the elements comes out at 12 kJ/mol of atoms. The volume is 30.09 Å³/atom.

Record 6
# Cs2Bi2Pd

A PBEsol-optimized structure of Cs2Bi2Pd (SCAN, Alexandria).

abc: 8.4644 8.4644 6.8781
angles: 90.00 90.00 127.08
Last column: nearest neighbours and their distance in Å.
Positions (direct):
Cs  0.1062  0.8938  0.7500  6 Bi 3.88-4.13, 2 Cs 4.00
Cs  0.3064  0.6936  0.2500  2 Pd 3.40
Cs  0.6936  0.3064  0.7500  2 Pd 3.40
Cs  0.8938  0.1062  0.2500  6 Bi 3.88-4.13, 2 Cs 4.00
Bi  0.2026  0.4036  0.7500  2 Pd 2.74, 1 Bi 2.97
Bi  0.4036  0.2026  0.2500  2 Pd 2.74, 1 Bi 2.97
Bi  0.5964  0.7974  0.7500  2 Pd 2.74, 1 Bi 2.97
Bi  0.7974  0.5964  0.2500  2 Pd 2.74, 1 Bi 2.97
Pd  0.5000  0.5000  0.0000  4 Bi 2.74
Pd  0.5000  0.5000  0.5000  4 Bi 2.74

Results
The energy relative to the elements comes out at -46 kJ/mol of atoms. The volume is 39.32 Å³/atom.

Record 7
# Cs2RbBi2

A PBEsol-optimized structure of Cs2RbBi2 (SCAN, Alexandria).

abc: 9.3754 9.3754 5.8537
angles: 90.00 90.00 90.00
Last column: nearest neighbours and their distance in Å.
Positions (direct):
Cs  0.1670  0.3330  0.0000  6 Bi 3.96-4.14, 1 Cs 4.43
Cs  0.3330  0.8330  0.0000  6 Bi 3.96-4.14, 1 Cs 4.43
Cs  0.6670  0.1670  0.0000  6 Bi 3.96-4.14, 1 Cs 4.43
Cs  0.8330  0.6670  0.0000  6 Bi 3.96-4.14, 1 Cs 4.43
Rb  0.0000  0.0000  0.5000  4 Bi 3.79
Rb  0.5000  0.5000  0.5000  4 Bi 3.79
Bi  0.1120  0.6120  0.5000  1 Bi 2.97
Bi  0.3880  0.1120  0.5000  1 Bi 2.97
Bi  0.6120  0.8880  0.5000  1 Bi 2.97
Bi  0.8880  0.3880  0.5000  1 Bi 2.97

Results
The energy relative to the elements comes out at -36 kJ/mol of atoms. The volume is 51.45 Å³/atom.

Record 8
# CsRbBi2

A PBEsol-optimized structure of CsRbBi2 (SCAN, Alexandria).

abc: 10.4735 10.4735 6.4562
angles: 90.00 90.00 90.00
Last column: nearest neighbours and their distance in Å.
Positions (direct):
Cs  0.0000  0.0000  0.0000  2 Rb 3.23
Cs  0.0000  0.5000  0.2500  2 Rb 3.23
Cs  0.5000  0.0000  0.7500  2 Rb 3.23
Cs  0.5000  0.5000  0.5000  2 Rb 3.23
Rb  0.0000  0.0000  0.5000  2 Cs 3.23
Rb  0.0000  0.5000  0.7500  2 Cs 3.23
Rb  0.5000  0.0000  0.2500  2 Cs 3.23
Rb  0.5000  0.5000  0.0000  2 Cs 3.23
Bi  0.2410  0.7500  0.6250  2 Bi 3.23
Bi  0.2500  0.2410  0.3750  2 Bi 3.23
Bi  0.2500  0.2590  0.8750  2 Bi 3.23
Bi  0.2590  0.7500  0.1250  2 Bi 3.23
Bi  0.7410  0.2500  0.1250  2 Bi 3.23
Bi  0.7500  0.7410  0.8750  2 Bi 3.23
Bi  0.7500  0.7590  0.3750  2 Bi 3.23
Bi  0.7590  0.2500  0.6250  2 Bi 3.23

Results
The energy relative to the elements comes out at -7 kJ/mol of atoms. The volume is 44.26 Å³/atom.

Record 9
# CsRbBiRu2

A PBEsol-optimized structure of CsRbBiRu2 (SCAN, Alexandria).

abc: 5.1017 5.1017 6.5882
angles: 90.00 90.00 90.00
Last column: nearest neighbours and their distance in Å.
Positions (direct):
Cs  0.0000  0.0000  0.0000  2 Bi 3.29, 4 Rb 3.61
Rb  0.5000  0.5000  0.0000  4 Cs 3.61
Bi  0.0000  0.0000  0.5000  4 Ru 2.55
Ru  0.0000  0.5000  0.5000  2 Bi 2.55
Ru  0.5000  0.0000  0.5000  2 Bi 2.55

Results
The energy relative to the elements comes out at 113 kJ/mol of atoms. The volume is 34.30 Å³/atom.

Record 10
# CsRbSn2Bi

A PBEsol-optimized structure of CsRbSn2Bi (SCAN, Alexandria).

abc: 6.0598 6.0598 6.1665
angles: 90.00 90.00 90.00
Last column: nearest neighbours and their distance in Å.
Positions (direct):
Cs  0.0000  0.0000  0.0000  2 Rb 3.08
Rb  0.0000  0.0000  0.5000  4 Sn 3.03, 2 Cs 3.08
Sn  0.0000  0.5000  0.5000  2 Rb 3.03
Sn  0.5000  0.0000  0.5000  2 Rb 3.03
Bi  0.5000  0.5000  0.0000  4 Cs 4.28, 8 Sn 4.32

Results
The energy relative to the elements comes out at 88 kJ/mol of atoms. The volume is 45.29 Å³/atom.

Record 11
# CsBi2TeRu

A PBEsol-optimized structure of CsBi2TeRu (SCAN, Alexandria).

abc: 5.2246 5.2246 5.7186
angles: 90.00 90.00 90.00
Last column: nearest neighbours and their distance in Å.
Positions (direct):
Cs  0.0000  0.0000  0.0000  2 Ru 2.86
Bi  0.0000  0.5000  0.5000  2 Ru 2.61
Bi  0.5000  0.0000  0.5000  2 Ru 2.61
Te  0.5000  0.5000  0.0000  4 Cs 3.69, 8 Bi 3.87
Ru  0.0000  0.0000  0.5000  4 Bi 2.61, 2 Cs 2.86

Results
For the raw formation energy, the calculation gives 0.275 eV/atom. The volume is 31.22 Å³/atom.

Record 12
# CsSiBiS4

A PBEsol-optimized structure of CsSiBiS4 (SCAN, Alexandria).

abc: 9.2655 6.7589 12.9179
angles: 90.00 108.01 90.00
Last column: nearest neighbours and their distance in Å.
Positions (direct):
Cs  0.0643  0.2411  0.3865  8 S 3.43-3.78
Cs  0.0643  0.2589  0.8865  8 S 3.43-3.78
Cs  0.9357  0.7411  0.1135  8 S 3.43-3.78
Cs  0.9357  0.7589  0.6135  8 S 3.43-3.78
Si  0.3309  0.7413  0.3541  4 S 2.11-2.16
Si  0.3309  0.7587  0.8541  4 S 2.11-2.16
Si  0.6691  0.2413  0.1459  4 S 2.11-2.16
Si  0.6691  0.2587  0.6459  4 S 2.11-2.16
Bi  0.4511  0.6672  0.1315  7 S 2.81-3.11
Bi  0.4511  0.8328  0.6315  7 S 2.81-3.11
Bi  0.5489  0.1672  0.3685  7 S 2.81-3.11
Bi  0.5489  0.3328  0.8685  7 S 2.81-3.11
S  0.1913  0.7481  0.4558  1 Si 2.11
S  0.1913  0.7519  0.9558  1 Si 2.11
S  0.2879  0.5276  0.7370  1 Si 2.12
S  0.2879  0.9724  0.2370  1 Si 2.12
S  0.3005  0.0241  0.7612  1 Si 2.13
S  0.3005  0.4759  0.2612  1 Si 2.13
S  0.4352  0.2210  0.5490  1 Si 2.16
S  0.4352  0.2790  0.0490  1 Si 2.16
S  0.5648  0.7210  0.9510  1 Si 2.16
S  0.5648  0.7790  0.4510  1 Si 2.16
S  0.6995  0.5241  0.7388  1 Si 2.13
S  0.6995  0.9759  0.2388  1 Si 2.13
S  0.7121  0.0276  0.7630  1 Si 2.12
S  0.7121  0.4724  0.2630  1 Si 2.12
S  0.8087  0.2481  0.0442  1 Si 2.11
S  0.8087  0.2519  0.5442  1 Si 2.11

Results
For the raw formation energy, the calculation gives -0.900 eV/atom. The volume is 27.48 Å³/atom.

Record 13
# Cs2BiSb2

A PBEsol-optimized structure of Cs2BiSb2 (SCAN, Alexandria).

abc: 8.0544 8.0544 6.0946
angles: 90.00 90.00 90.00
Last column: nearest neighbours and their distance in Å.
Positions (direct):
Cs  0.1777  0.3223  0.0000  6 Sb 3.79-3.92, 5 Cs 4.05-4.19
Cs  0.3223  0.8223  0.0000  6 Sb 3.79-3.92, 5 Cs 4.05-4.19
Cs  0.6777  0.1777  0.0000  6 Sb 3.79-3.92, 5 Cs 4.05-4.19
Cs  0.8223  0.6777  0.0000  6 Sb 3.79-3.92, 5 Cs 4.05-4.19
Bi  0.0000  0.0000  0.5000  4 Sb 3.19
Bi  0.5000  0.5000  0.5000  4 Sb 3.19
Sb  0.1237  0.6237  0.5000  1 Sb 2.82
Sb  0.3763  0.1237  0.5000  1 Sb 2.82
Sb  0.6237  0.8763  0.5000  1 Sb 2.82
Sb  0.8763  0.3763  0.5000  1 Sb 2.82

Results
For the raw formation energy, the calculation gives -0.381 eV/atom. The volume is 39.54 Å³/atom.

Record 14
# Cs2Bi4Se7

A PBEsol-optimized structure of Cs2Bi4Se7 (SCAN, Alexandria).

abc: 13.1621 4.2037 15.3718
angles: 90.00 94.22 90.00
Last column: nearest neighbours and their distance in Å.
Positions (direct):
Cs  0.0709  0.2500  0.1896  8 Se 3.49-3.79
Cs  0.3298  0.7500  0.3782  6 Se 3.51-3.76
Cs  0.6702  0.2500  0.6218  6 Se 3.51-3.76
Cs  0.9291  0.7500  0.8104  8 Se 3.49-3.79
Bi  0.1055  0.7500  0.5733  6 Se 2.84-3.00
Bi  0.2277  0.7500  0.9510  4 Se 2.79-2.97
Bi  0.3307  0.2500  0.7255  6 Se 2.84-3.05
Bi  0.4460  0.2500  0.1197  6 Se 2.82-3.10
Bi  0.5540  0.7500  0.8803  6 Se 2.82-3.10
Bi  0.6693  0.7500  0.2745  6 Se 2.84-3.05
Bi  0.7723  0.2500  0.0490  4 Se 2.79-2.97
Bi  0.8945  0.2500  0.4267  6 Se 2.84-3.00
Se  0.0454  0.7500  0.3918  3 Bi 2.84-2.97
Se  0.0902  0.2500  0.9645  2 Bi 2.79
Se  0.1874  0.7500  0.7609  4 Bi 2.90-3.00
Se  0.2565  0.2500  0.5476  3 Bi 2.84-2.94
Se  0.2956  0.7500  0.1394  3 Bi 2.92-2.97
Se  0.4014  0.2500  0.9188  6 Bi 3.00-3.17
Se  0.4852  0.7500  0.7024  3 Bi 2.82-2.96
Se  0.5148  0.2500  0.2976  3 Bi 2.82-2.96
Se  0.5986  0.7500  0.0812  6 Bi 3.00-3.17
Se  0.7044  0.2500  0.8606  3 Bi 2.92-2.97
Se  0.7435  0.7500  0.4524  3 Bi 2.84-2.94
Se  0.8126  0.2500  0.2391  4 Bi 2.90-3.00
Se  0.9098  0.7500  0.0355  2 Bi 2.79
Se  0.9546  0.2500  0.6082  3 Bi 2.84-2.97

Results
For the raw formation energy, the calculation gives -0.661 eV/atom. The volume is 32.62 Å³/atom.

Record 15
# CsBiSe3

A PBEsol-optimized structure of CsBiSe3 (SCAN, Alexandria).

abc: 5.5655 5.5655 5.5655
angles: 90.00 90.00 90.00
Last column: nearest neighbours and their distance in Å.
Positions (direct):
Cs  0.0000  0.0000  0.0000  6 Se 2.78
Bi  0.5000  0.5000  0.5000  12 Se 3.94
Se  0.0000  0.0000  0.5000  2 Cs 2.78
Se  0.0000  0.5000  0.0000  2 Cs 2.78
Se  0.5000  0.0000  0.0000  2 Cs 2.78

Results
For the raw formation energy, the calculation gives 1.133 eV/atom. The volume is 34.48 Å³/atom.

Record 16
# CsBi2Se

A PBEsol-optimized structure of CsBi2Se (SCAN, Alexandria).

abc: 9.4643 9.4643 6.5508
angles: 90.00 90.00 90.00
Last column: nearest neighbours and their distance in Å.
Positions (direct):
Cs  0.0000  0.0000  0.0000  2 Se 3.28
Cs  0.0000  0.5000  0.2500  2 Se 3.28
Cs  0.5000  0.0000  0.7500  2 Se 3.28
Cs  0.5000  0.5000  0.5000  2 Se 3.28
Bi  0.1782  0.7500  0.6250  2 Se 3.02
Bi  0.2500  0.1782  0.3750  2 Se 3.02
Bi  0.2500  0.3218  0.8750  2 Se 3.02
Bi  0.3218  0.7500  0.1250  2 Se 3.02
Bi  0.6782  0.2500  0.1250  2 Se 3.02
Bi  0.7500  0.6782  0.8750  2 Se 3.02
Bi  0.7500  0.8218  0.3750  2 Se 3.02
Bi  0.8218  0.2500  0.6250  2 Se 3.02
Se  0.0000  0.0000  0.5000  4 Bi 3.02, 2 Cs 3.28
Se  0.0000  0.5000  0.7500  4 Bi 3.02, 2 Cs 3.28
Se  0.5000  0.0000  0.2500  4 Bi 3.02, 2 Cs 3.28
Se  0.5000  0.5000  0.0000  4 Bi 3.02, 2 Cs 3.28

Results
For the raw formation energy, the calculation gives -0.071 eV/atom. The volume is 36.67 Å³/atom.

Record 17
# CsSn2Bi2

A PBEsol-optimized structure of CsSn2Bi2 (SCAN, Alexandria).

abc: 5.4442 5.4442 12.7642
angles: 90.00 90.00 90.00
Last column: nearest neighbours and their distance in Å.
Positions (direct):
Cs  0.0000  0.0000  0.0000  8 Sn 4.19, 10 Bi 4.22-4.66
Cs  0.5000  0.5000  0.5000  8 Sn 4.19, 10 Bi 4.22-4.66
Sn  0.0000  0.5000  0.2500  4 Bi 3.09
Sn  0.0000  0.5000  0.7500  4 Bi 3.09
Sn  0.5000  0.0000  0.2500  4 Bi 3.09
Sn  0.5000  0.0000  0.7500  4 Bi 3.09
Bi  0.0000  0.0000  0.3651  4 Sn 3.09, 1 Bi 3.44
Bi  0.0000  0.0000  0.6348  4 Sn 3.09, 1 Bi 3.44
Bi  0.5000  0.5000  0.1348  4 Sn 3.09, 1 Bi 3.44
Bi  0.5000  0.5000  0.8652  4 Sn 3.09, 1 Bi 3.44

Results
The energy relative to the elements comes out at -20 kJ/mol of atoms. The volume is 37.83 Å³/atom.

Record 18
# Cs3SnBi

A PBEsol-optimized structure of Cs3SnBi (SCAN, Alexandria).

abc: 6.9267 6.9267 6.9267
angles: 90.00 90.00 90.00
Last column: nearest neighbours and their distance in Å.
Positions (direct):
Cs  0.0000  0.0000  0.5000  2 Sn 3.46
Cs  0.0000  0.5000  0.0000  2 Sn 3.46
Cs  0.5000  0.0000  0.0000  2 Sn 3.46
Sn  0.0000  0.0000  0.0000  6 Cs 3.46
Bi  0.5000  0.5000  0.5000  12 Cs 4.90

Results
The energy relative to the elements comes out at 27 kJ/mol of atoms. The volume is 66.47 Å³/atom.

Record 19
# CsTa3Bi

A PBEsol-optimized structure of CsTa3Bi (SCAN, Alexandria).

abc: 5.0425 5.0425 5.0425
angles: 90.00 90.00 90.00
Last column: nearest neighbours and their distance in Å.
Positions (direct):
Cs  0.0000  0.0000  0.0000  6 Ta 2.52
Ta  0.0000  0.0000  0.5000  2 Cs 2.52
Ta  0.0000  0.5000  0.0000  2 Cs 2.52
Ta  0.5000  0.0000  0.0000  2 Cs 2.52
Bi  0.5000  0.5000  0.5000  12 Ta 3.57

Results
The energy relative to the elements comes out at 306 kJ/mol of atoms. The volume is 25.64 Å³/atom.

Record 20
# CsTl2Bi2

A PBEsol-optimized structure of CsTl2Bi2 (SCAN, Alexandria).

abc: 9.7327 9.7327 3.7127
angles: 90.00 90.00 90.00
Last column: nearest neighbours and their distance in Å.
Positions (direct):
Cs  0.0000  0.0000  0.0000  2 Cs 3.71, 4 Bi 3.90, 8 Tl 4.09
Cs  0.5000  0.5000  0.0000  2 Cs 3.71, 4 Bi 3.90, 8 Tl 4.09
Tl  0.1620  0.3380  0.5000  6 Bi 3.32-3.56, 2 Tl 3.71
Tl  0.3380  0.8380  0.5000  6 Bi 3.32-3.56, 2 Tl 3.71
Tl  0.6620  0.1620  0.5000  6 Bi 3.32-3.56, 2 Tl 3.71
Tl  0.8380  0.6620  0.5000  6 Bi 3.32-3.56, 2 Tl 3.71
Bi  0.1174  0.6174  0.0000  1 Bi 3.23, 6 Tl 3.32-3.56
Bi  0.3826  0.1174  0.0000  1 Bi 3.23, 6 Tl 3.32-3.56
Bi  0.6174  0.8826  0.0000  1 Bi 3.23, 6 Tl 3.32-3.56
Bi  0.8826  0.3826  0.0000  1 Bi 3.23, 6 Tl 3.32-3.56

Results
The calculation puts the energy above the most stable polymorph in this dataset at 133.8 meV per atom. The energy relative to the elements comes out at -14 kJ/mol of atoms. The volume is 35.17 Å³/atom.